(1)
# In2HgPd2

Crystalline In2HgPd2 at its relaxed geometry (GGA-PBEsol, the Alexandria database).

CIF file:
```
data_In2HgPd2
_chemical_formula_sum 'In4 Hg2 Pd4'
_space_group_name_H-M_alt 'P 4/m b m'
_space_group_IT_number 127
_space_group_name_Hall '-P 4 2ab'
_cell_length_a 7.373
_cell_length_b 7.373
_cell_length_c 3.400
_cell_angle_alpha 90.00
_cell_angle_beta 90.00
_cell_angle_gamma 90.00
loop_
_atom_site_label
_atom_site_fract_x
_atom_site_fract_y
_atom_site_fract_z
In1 0.154 0.346 0.000
Hg1 0.000 0.000 0.500
Pd1 0.144 0.644 0.500
```

---

(2)
# Ba2Li2Te (GGA-PBEsol, relaxed)
data_Ba2Li2Te
_chemical_formula_sum 'Ba4 Li4 Te2'
_space_group_name_H-M_alt 'I 4/m m m'
_space_group_IT_number 139
_space_group_name_Hall '-I 4 2'
_cell_length_a 4.167
_cell_length_b 4.167
_cell_length_c 20.753
_cell_angle_alpha 90.00
_cell_angle_beta 90.00
_cell_angle_gamma 90.00
loop_
_atom_site_label
_atom_site_fract_x
_atom_site_fract_y
_atom_site_fract_z
Ba1 0.000 0.000 0.096
Li1 0.000 0.500 0.250
Te1 0.000 0.000 0.500
# formation energy from raw total energies	-580	meV/atom

---

(3)
# TbTiF6 (GGA-PBEsol, relaxed)
data_TbTiF6
_chemical_formula_sum 'Tb4 Ti4 F24'
_space_group_name_H-M_alt 'F m -3 m'
_space_group_IT_number 225
_space_group_name_Hall '-F 4 2 3'
_cell_length_a 8.275
_cell_length_b 8.275
_cell_length_c 8.275
_cell_angle_alpha 90.00
_cell_angle_beta 90.00
_cell_angle_gamma 90.00
loop_
_atom_site_label
_atom_site_fract_x
_atom_site_fract_y
_atom_site_fract_z
Tb1 0.000 0.000 0.000
Ti1 0.000 0.000 0.500
F1 0.000 0.000 0.263
# formation energy from raw total energies	-3693	meV/atom

---

(4)
# YRu3

Crystalline YRu3 at its relaxed geometry (GGA-PBEsol, the Alexandria database).

CIF file:
```
data_YRu3
_chemical_formula_sum 'Y1 Ru3'
_space_group_name_H-M_alt 'P 4/m m m'
_space_group_IT_number 123
_space_group_name_Hall '-P 4 2'
_cell_length_a 2.864
_cell_length_b 2.864
_cell_length_c 7.754
_cell_angle_alpha 90.00
_cell_angle_beta 90.00
_cell_angle_gamma 90.00
loop_
_atom_site_label
_atom_site_fract_x
_atom_site_fract_y
_atom_site_fract_z
Y1 0.000 0.000 0.000
Ru1 0.000 0.000 0.500
Ru2 0.500 0.500 0.287
```

---

(5)
# SrMnSi3 (GGA-PBEsol, relaxed)
data_SrMnSi3
_chemical_formula_sum 'Sr1 Mn1 Si3'
_space_group_name_H-M_alt 'P m -3 m'
_space_group_IT_number 221
_space_group_name_Hall '-P 4 2 3'
_cell_length_a 4.489
_cell_length_b 4.489
_cell_length_c 4.489
_cell_angle_alpha 90.00
_cell_angle_beta 90.00
_cell_angle_gamma 90.00
loop_
_atom_site_label
_atom_site_fract_x
_atom_site_fract_y
_atom_site_fract_z
Sr1 0.000 0.000 0.000
Mn1 0.500 0.500 0.500
Si1 0.000 0.500 0.500
# formation energy from raw total energies	-92	meV/atom

---

(6)
# Ni2PtRh

Crystalline Ni2PtRh at its relaxed geometry (GGA-PBEsol, the Alexandria database).

CIF file:
```
data_Ni2PtRh
_chemical_formula_sum 'Ni4 Pt2 Rh2'
_space_group_name_H-M_alt 'I 4/m m m'
_space_group_IT_number 139
_space_group_name_Hall '-I 4 2'
_cell_length_a 3.753
_cell_length_b 3.753
_cell_length_c 7.019
_cell_angle_alpha 90.00
_cell_angle_beta 90.00
_cell_angle_gamma 90.00
loop_
_atom_site_label
_atom_site_fract_x
_atom_site_fract_y
_atom_site_fract_z
Ni1 0.000 0.500 0.250
Pt1 0.000 0.000 0.000
Rh1 0.000 0.000 0.500
```

---

(7)
# LaTlCd2

Crystalline LaTlCd2 at its relaxed geometry (GGA-PBEsol, the Alexandria database).

CIF file:
```
data_LaTlCd2
_chemical_formula_sum 'La1 Tl1 Cd2'
_space_group_name_H-M_alt 'P m m m'
_space_group_IT_number 47
_space_group_name_Hall '-P 2 2'
_cell_length_a 4.628
_cell_length_b 4.646
_cell_length_c 4.825
_cell_angle_alpha 90.00
_cell_angle_beta 90.00
_cell_angle_gamma 90.00
loop_
_atom_site_label
_atom_site_fract_x
_atom_site_fract_y
_atom_site_fract_z
La1 0.000 0.000 0.000
Tl1 0.500 0.500 0.000
Cd1 0.000 0.500 0.500
Cd2 0.500 0.000 0.500
```

---

(8)
# BeRuO2 (GGA-PBEsol, relaxed)
data_BeRuO2
_chemical_formula_sum 'Be3 Ru3 O6'
_space_group_name_H-M_alt 'R -3 m'
_space_group_IT_number 166
_space_group_name_Hall '-R 3 2"'
_cell_length_a 2.6246
_cell_length_b 2.6246
_cell_length_c 17.2559
_cell_angle_alpha 90.00
_cell_angle_beta 90.00
_cell_angle_gamma 120.00
loop_
_atom_site_label
_atom_site_fract_x
_atom_site_fract_y
_atom_site_fract_z
Be1 0.0000 0.0000 0.0000
Ru1 0.0000 0.0000 0.5000
O1 0.0000 0.0000 0.3904
# formation energy from raw total energies	-1372	meV/atom

---

(9)
# Y2Ge3Pt9

Crystalline Y2Ge3Pt9 at its relaxed geometry (GGA-PBEsol, the Alexandria database).

CIF file:
```
data_Y2Ge3Pt9
_chemical_formula_sum 'Y8 Ge12 Pt36'
_space_group_name_H-M_alt 'C 1 2/c 1'
_space_group_IT_number 15
_space_group_name_Hall '-C 2yc'
_cell_length_a 13.346
_cell_length_b 7.738
_cell_length_c 9.984
_cell_angle_alpha 90.00
_cell_angle_beta 116.81
_cell_angle_gamma 90.00
loop_
_atom_site_label
_atom_site_fract_x
_atom_site_fract_y
_atom_site_fract_z
Y1 0.169 0.085 0.251
Ge1 0.090 0.229 0.497
Ge2 0.250 0.250 0.000
Pt1 0.000 0.368 0.250
Pt2 0.059 0.083 0.923
Pt3 0.105 0.309 0.742
Pt4 0.111 0.412 0.074
Pt5 0.223 0.418 0.420
```

---

(10)
# KCrMo2F (GGA-PBEsol, relaxed)
data_KCrMo2F
_chemical_formula_sum 'K1 Cr1 Mo2 F1'
_space_group_name_H-M_alt 'P 4/m m m'
_space_group_IT_number 123
_space_group_name_Hall '-P 4 2'
_cell_length_a 4.139
_cell_length_b 4.139
_cell_length_c 5.209
_cell_angle_alpha 90.00
_cell_angle_beta 90.00
_cell_angle_gamma 90.00
loop_
_atom_site_label
_atom_site_fract_x
_atom_site_fract_y
_atom_site_fract_z
K1 0.000 0.000 0.000
Cr1 0.500 0.500 0.000
Mo1 0.000 0.500 0.500
F1 0.500 0.500 0.500
# formation energy from raw total energies	1236	meV/atom

---

(11)
# CuIr2Au (GGA-PBEsol, relaxed)
data_CuIr2Au
_chemical_formula_sum 'Cu1 Ir2 Au1'
_space_group_name_H-M_alt 'P m m m'
_space_group_IT_number 47
_space_group_name_Hall '-P 2 2'
_cell_length_a 2.694
_cell_length_b 4.610
_cell_length_c 4.657
_cell_angle_alpha 90.00
_cell_angle_beta 90.00
_cell_angle_gamma 90.00
loop_
_atom_site_label
_atom_site_fract_x
_atom_site_fract_y
_atom_site_fract_z
Cu1 0.000 0.000 0.000
Ir1 0.000 0.500 0.500
Ir2 0.500 0.000 0.500
Au1 0.500 0.500 0.000
# energy above the lowest structure with this stoichiometry	100	meV/atom

---

(12)
# Ba4Sm7Si12BN27 (GGA-PBEsol, relaxed)
data_Ba4Sm7Si12BN27
_chemical_formula_sum 'Ba4 Sm7 Si12 B1 N27'
_space_group_name_H-M_alt 'P -6'
_space_group_IT_number 174
_space_group_name_Hall 'P -6'
_cell_length_a 12.1669
_cell_length_b 12.1669
_cell_length_c 5.4054
_cell_angle_alpha 90.00
_cell_angle_beta 90.00
_cell_angle_gamma 120.00
loop_
_atom_site_label
_atom_site_fract_x
_atom_site_fract_y
_atom_site_fract_z
Ba1 0.0000 0.0000 0.0000
Ba2 0.4122 0.1785 0.0000
Sm1 0.0414 0.6967 0.5000
Sm2 0.0896 0.4491 0.5000
Sm3 0.3333 0.6667 0.0000
Si1 0.0249 0.5463 0.0000
Si2 0.0263 0.1605 0.5000
Si3 0.1379 0.3464 0.0000
Si4 0.5733 0.4017 0.5000
B1 0.3333 0.6667 0.5000
N1 0.0555 0.2623 0.2554
N2 0.0857 0.7080 0.0000
N3 0.1302 0.4876 0.0000
N4 0.1461 0.1198 0.5000
N5 0.2222 0.6838 0.5000
N6 0.5064 0.2407 0.5000
N7 0.5086 0.4440 0.2604
# formation energy from raw total energies	-1413	meV/atom

---

Calculated E_tot in order - -4.110 -2.931 -6.805 -9.123 -5.860 -6.873 -2.890 -7.540 -7.305 -6.132 -6.661 -8.285 eV per atom
Calculated M_tot in order - 0.00 0.00 4.00 0.00 1.53 0.00 0.00 0.00 0.00 3.61 0.00 0.00 μB/cell